## Sm12Ho5Er (PBE)

Data for an optimized crystal structure of Sm12Ho5Er.

Summary:
spin magnetization	0.00	μB per atom
uncorrected energy	-83.746	eV for the cell shown
ΔH_f (0 K)	32	kJ/mol of formula units

Unit cell a=15.2151 b=10.7705 c=5.0846 alpha=90.00 beta=90.00 gamma=45.06
Last column: nearest neighbours and their distance in Å.
Atoms (fractional coordinates):
Sm1 0.8347 0.0000 0.5001  2 Er 3.58, 2 Ho 3.58, 8 Sm 3.59-3.62
Sm2 0.1653 0.0000 0.4999  2 Er 3.58, 2 Ho 3.58, 8 Sm 3.59-3.62
Sm3 0.6657 0.0000 0.0001  4 Ho 3.58, 8 Sm 3.59-3.62
Sm4 0.3343 0.0000 0.9999  4 Ho 3.58, 8 Sm 3.59-3.62
Sm5 0.3321 0.6667 0.0000  1 Er 3.58, 3 Ho 3.58, 8 Sm 3.59-3.62
Sm6 0.0013 0.6667 0.0000  1 Er 3.58, 3 Ho 3.58, 8 Sm 3.59-3.62
Sm7 0.9987 0.3333 0.0000  1 Er 3.58, 3 Ho 3.58, 8 Sm 3.59-3.62
Sm8 0.6679 0.3333 0.0000  1 Er 3.58, 3 Ho 3.58, 8 Sm 3.59-3.62
Sm9 0.4990 0.3332 0.5000  4 Ho 3.58, 8 Sm 3.59-3.62
Sm10 0.8322 0.6668 0.5000  4 Ho 3.58, 8 Sm 3.59-3.62
Sm11 0.1678 0.3332 0.5000  4 Ho 3.58, 8 Sm 3.59-3.62
Sm12 0.5010 0.6668 0.5000  4 Ho 3.58, 8 Sm 3.59-3.62
Ho1 0.5000 0.0000 0.5000  8 Sm 3.58, 4 Ho 3.59
Ho2 0.1667 0.6665 0.5000  8 Sm 3.58, 2 Er 3.60, 2 Ho 3.60
Ho3 0.8333 0.3335 0.5000  8 Sm 3.58, 2 Er 3.60, 2 Ho 3.60
Ho4 0.6665 0.6670 0.0000  8 Sm 3.58, 4 Ho 3.59-3.60
Ho5 0.3335 0.3330 0.0000  8 Sm 3.58, 4 Ho 3.59-3.60
Er1 0.0000 0.0000 0.0000  8 Sm 3.58, 4 Ho 3.60